# 1
A geometry-optimized CsKBa2Tl structure, computed with PBE-GGA.

Lattice parameters (Å, degrees): 6.887 6.887 7.304 90.00 90.00 90.00
Sites, in units of the cell vectors:
Cs 0.500 0.500 0.500
Tl 0.000 0.000 0.000
K 0.000 0.000 0.500
Ba 0.000 0.500 0.000
Ba 0.500 0.000 0.000

# 2
A geometry-optimized CsKBa2Zn structure, computed with PBE-GGA.

Lattice parameters (Å, degrees): 6.677 6.677 7.246 90.00 90.00 90.00
Sites, in units of the cell vectors:
Cs 0.500 0.500 0.500
Zn 0.000 0.000 0.000
K 0.000 0.000 0.500
Ba 0.000 0.500 0.000
Ba 0.500 0.000 0.000

Calculated values
energy above the most stable polymorph in this dataset	0.00	eV/f.u.

# 3
A geometry-optimized CsK2BaZn structure, computed with PBE-GGA.

Lattice parameters (Å, degrees): 7.049 7.049 6.588 90.00 90.00 90.00
Sites, in units of the cell vectors:
Cs 0.500 0.500 0.500
Zn 0.000 0.000 0.000
K 0.000 0.500 0.000
K 0.500 0.000 0.000
Ba 0.000 0.000 0.500

# 4
A geometry-optimized CsKBa2Zn structure, computed with PBE-GGA.

Lattice parameters (Å, degrees): 6.685 6.685 7.428 90.00 90.00 90.00
Sites, in units of the cell vectors:
Cs 0.000 0.000 0.500
Zn 0.000 0.000 0.000
K 0.500 0.500 0.500
Ba 0.000 0.500 0.000
Ba 0.500 0.000 0.000

Calculated values
energy above the most stable polymorph in this dataset	0.04	eV/f.u.

# 5
A geometry-optimized Cs3BaLa structure, computed with PBE-GGA.

Lattice parameters (Å, degrees): 7.455 7.455 7.455 90.00 90.00 90.00
Sites, in units of the cell vectors:
Cs 0.000 0.500 0.000
Cs 0.000 0.000 0.500
Cs 0.500 0.000 0.000
Ba 0.500 0.500 0.500
La 0.000 0.000 0.000

# 6
A geometry-optimized CsBaLa3 structure, computed with PBE-GGA.

Lattice parameters (Å, degrees): 6.144 6.144 6.144 90.00 90.00 90.00
Sites, in units of the cell vectors:
Cs 0.000 0.000 0.000
Ba 0.500 0.500 0.500
La 0.000 0.500 0.000
La 0.000 0.000 0.500
La 0.500 0.000 0.000

Calculated values
energy above the most stable polymorph in this dataset	0.00	eV/f.u.

# 7
A geometry-optimized CsBa2La structure, computed with PBE-GGA.

Lattice parameters (Å, degrees): 6.877 6.877 6.877 60.00 60.00 60.00
Sites, in units of the cell vectors:
Cs 0.000 0.000 0.000
Ba 0.250 0.250 0.250
Ba 0.750 0.750 0.750
La 0.500 0.500 0.500

# 8
A geometry-optimized CsBaLa3 structure, computed with PBE-GGA.

Lattice parameters (Å, degrees): 6.319 6.319 6.319 90.00 90.00 90.00
Sites, in units of the cell vectors:
Cs 0.500 0.500 0.500
Ba 0.000 0.000 0.000
La 0.000 0.500 0.000
La 0.000 0.000 0.500
La 0.500 0.000 0.000

Calculated values
energy above the most stable polymorph in this dataset	0.25	eV/f.u.

no.,calculated total energy (eV/atom),ΔE_f (eV per atom)
1,-1.648,-0.015
2,-1.341,0.073
3,-1.155,0.094
4,-1.333,0.081
5,-1.164,0.718
6,-2.798,0.714
7,-2.028,0.379
8,-2.748,0.764